Density functional theory data (PBE) for a relaxed TbCe2DyN4 crystal.

Summary:
crystal system: monoclinic
raw formation energy: -1588 meV per atom
SG: P2/m
VASP energy: -8.39 eV/atom

Unit cell a=3.5264 b=6.1069 c=6.1089 alpha=109.47 beta=90.00 gamma=90.00
Last column: nearest neighbours and their distance in Å.
Atoms (fractional coordinates):
Dy  0.5000  0.5000  0.0000  6 N 2.49
N  0.5000  0.2510  0.2499  1 Dy 2.49, 3 Ce 2.49-2.50, 2 Tb 2.50
N  0.0000  0.7487  0.2492  2 Dy 2.49, 3 Ce 2.49-2.50, 1 Tb 2.50
N  0.5000  0.7490  0.7501  1 Dy 2.49, 3 Ce 2.49-2.50, 2 Tb 2.50
Ce  0.0000  0.5000  0.5000  6 N 2.49
N  0.0000  0.2513  0.7508  2 Dy 2.49, 3 Ce 2.49-2.50, 1 Tb 2.50
Tb  0.0000  0.0000  0.0000  6 N 2.50
Ce  0.5000  0.0000  0.5000  6 N 2.50